Record 1
# TmPuZnOs

TmPuZnOs after structural relaxation (PBE, the Alexandria database).

Unit cell a=4.8667 b=4.8667 c=4.8667 alpha=60.00 beta=60.00 gamma=60.00
Closest atoms and distances in Å follow each position.
Positions (direct):
Tm  0.0000  0.0000  0.0000  4 Os 2.98, 4 Zn 2.98
Pu  0.5000  0.5000  0.5000  4 Zn 2.98, 4 Os 2.98
Zn  0.7500  0.7500  0.7500  4 Pu 2.98, 4 Tm 2.98
Os  0.2500  0.2500  0.2500  4 Pu 2.98, 4 Tm 2.98

energy = -0.5860 Ry per atom
crystal system = cubic
mass density = 13.621 g/cm3

Record 2
# Pu2UOs

Pu2UOs after structural relaxation (PBE, the Alexandria database).

Unit cell a=5.1250 b=5.1250 c=5.1250 alpha=53.02 beta=53.02 gamma=53.02
Closest atoms and distances in Å follow each position.
Positions (direct):
Pu  0.2478  0.2478  0.2478  3 U 2.85, 3 Os 2.87
Pu  0.7522  0.7522  0.7522  3 U 2.85, 3 Os 2.87
U  0.5000  0.5000  0.5000  6 Pu 2.85
Os  0.0000  0.0000  0.0000  6 Pu 2.87

energy = -0.9332 Ry per atom
ΔE to the lowest computed polymorph = 0 meV/atom
crystal system = trigonal
mass density = 19.109 g/cm3

Record 3
# Pu2U5Os3

Pu2U5Os3 after structural relaxation (PBE, the Alexandria database).

Unit cell a=8.6640 b=8.6640 c=8.6640 alpha=128.12 beta=84.54 gamma=118.54
Closest atoms and distances in Å follow each position.
Positions (direct):
Pu  0.1635  0.1063  0.2698  3 U 2.45-2.57
Pu  0.3365  0.6063  0.9428  3 U 2.45-2.57
Pu  0.6635  0.3937  0.0572  3 U 2.45-2.57
Pu  0.8365  0.8937  0.7302  3 U 2.45-2.57
U  0.0073  0.2500  0.7573  2 Pu 2.57, 2 Os 2.87
U  0.0783  0.8174  0.8958  1 Pu 2.45, 1 Os 2.70
U  0.2500  0.7500  0.5000  4 Os 2.68
U  0.4217  0.3174  0.7391  1 Pu 2.45, 1 Os 2.70
U  0.4927  0.2500  0.2427  2 Pu 2.57, 2 Os 2.87
U  0.5073  0.7500  0.7573  2 Pu 2.57, 2 Os 2.87
U  0.5783  0.6826  0.2609  1 Pu 2.45, 1 Os 2.70
U  0.7500  0.2500  0.5000  4 Os 2.68
U  0.9217  0.1826  0.1042  1 Pu 2.45, 1 Os 2.70
U  0.9927  0.7500  0.2427  2 Pu 2.57, 2 Os 2.87
Os  0.1158  0.4665  0.5823  5 U 2.68-2.87, 1 Pu 2.80
Os  0.2500  0.2500  0.0000  6 U 2.80-3.11
Os  0.3842  0.9665  0.3507  5 U 2.68-2.87, 1 Pu 2.80
Os  0.6158  0.0335  0.6493  5 U 2.68-2.87, 1 Pu 2.80
Os  0.7500  0.7500  0.0000  6 U 2.80-3.11
Os  0.8842  0.5335  0.4177  5 U 2.68-2.87, 1 Pu 2.80

energy = -0.8597 Ry per atom
crystal system = orthorhombic
mass density = 17.357 g/cm3

Record 4
# Pu2UOs

Pu2UOs after structural relaxation (PBE, the Alexandria database).

Unit cell a=4.0662 b=4.0642 c=10.1062 alpha=90.00 beta=90.06 gamma=90.00
Closest atoms and distances in Å follow each position.
Positions (direct):
Pu  0.2501  0.0000  0.0164  4 Pu 2.89, 2 U 3.11-3.12, 2 Os 3.11-3.12
Pu  0.2499  0.9993  0.5166  4 Pu 2.89, 2 Os 3.11-3.12, 2 U 3.11-3.12
Pu  0.7501  0.4993  0.4834  4 Pu 2.89, 2 Os 3.11-3.12, 2 U 3.11-3.12
Pu  0.7499  0.5000  0.9836  4 Pu 2.89, 2 U 3.11-3.12, 2 Os 3.11-3.12
U  0.2510  0.4985  0.2499  4 Os 2.87-2.88, 4 Pu 3.11-3.12
U  0.7490  0.9985  0.7501  4 Os 2.87-2.88, 4 Pu 3.11-3.12
Os  0.2488  0.4967  0.7499  4 U 2.87-2.88, 4 Pu 3.11-3.12
Os  0.7512  0.9967  0.2501  4 U 2.87-2.88, 4 Pu 3.11-3.12

energy = -0.9314 Ry per atom
ΔE to the lowest computed polymorph = 24 meV/atom
crystal system = monoclinic
mass density = 18.219 g/cm3

Record 5
# PuU3Os

PuU3Os after structural relaxation (PBE, the Alexandria database).

Unit cell a=4.6735 b=6.8276 c=6.1789 alpha=90.00 beta=94.11 gamma=90.00
Closest atoms and distances in Å follow each position.
Positions (direct):
Pu  0.1656  0.2500  0.4009  5 U 2.40-2.57
Pu  0.8344  0.7500  0.5991  5 U 2.40-2.57
U  0.2144  0.2500  0.0171  1 Pu 2.40, 1 Os 2.67
U  0.2663  0.5266  0.6769  2 Pu 2.55-2.57, 1 U 2.85
U  0.2663  0.9734  0.6769  2 Pu 2.55-2.57, 1 U 2.85
U  0.7337  0.0266  0.3231  2 Pu 2.55-2.57, 1 U 2.85
U  0.7337  0.4734  0.3231  2 Pu 2.55-2.57, 1 U 2.85
U  0.7856  0.7500  0.9829  1 Pu 2.40, 1 Os 2.67
Os  0.2712  0.7500  0.2395  4 U 2.67-2.97
Os  0.7288  0.2500  0.7605  4 U 2.67-2.97

energy = -0.8643 Ry per atom
crystal system = monoclinic
mass density = 19.393 g/cm3

Record 6
# Pu2UOs

Pu2UOs after structural relaxation (PBE, the Alexandria database).

Unit cell a=3.4036 b=3.4036 c=6.9303 alpha=90.00 beta=90.00 gamma=90.00
Closest atoms and distances in Å follow each position.
Positions (direct):
Pu  0.0000  0.0000  0.2340  4 Os 2.90, 4 U 3.03, 1 Pu 3.24
Pu  0.0000  0.0000  0.7660  4 Os 2.90, 4 U 3.03, 1 Pu 3.24
U  0.5000  0.5000  0.5000  8 Pu 3.03
Os  0.5000  0.5000  0.0000  8 Pu 2.90

energy = -0.9314 Ry per atom
ΔE to the lowest computed polymorph = 24 meV/atom
crystal system = tetragonal
mass density = 18.951 g/cm3

Record 7
# PuUOsW

PuUOsW after structural relaxation (PBE, the Alexandria database).

Unit cell a=4.6716 b=4.6716 c=4.6716 alpha=60.00 beta=60.00 gamma=60.00
Closest atoms and distances in Å follow each position.
Positions (direct):
Pu  0.0000  0.0000  0.0000  4 Os 2.86, 4 U 2.86
U  0.2500  0.2500  0.2500  4 W 2.86, 4 Pu 2.86
Os  0.7500  0.7500  0.7500  4 W 2.86, 4 Pu 2.86
W  0.5000  0.5000  0.5000  4 Os 2.86, 4 U 2.86

energy = -0.9033 Ry per atom
crystal system = cubic
mass density = 19.720 g/cm3

Record 8
# PuVOs2

PuVOs2 after structural relaxation (PBE, the Alexandria database).

Unit cell a=3.0049 b=3.0049 c=7.2435 alpha=90.00 beta=90.00 gamma=90.00
Closest atoms and distances in Å follow each position.
Positions (direct):
Pu  0.0000  0.0000  0.0000  4 Pu 3.00, 8 Os 3.02
V  0.0000  0.0000  0.5000  8 Os 2.59
Os  0.5000  0.5000  0.2965  4 V 2.59
Os  0.5000  0.5000  0.7035  4 V 2.59

energy = -0.8501 Ry per atom
crystal system = tetragonal
mass density = 17.147 g/cm3

Record 9
# PuVOs

PuVOs after structural relaxation (PBE, the Alexandria database).

Unit cell a=7.0070 b=7.0070 c=7.0070 alpha=155.74 beta=155.74 gamma=34.58
Closest atoms and distances in Å follow each position.
Positions (direct):
Pu  0.0000  0.0000  0.0000  1 V 2.66, 1 Os 2.67, 4 Pu 2.94
V  0.8010  0.8010  0.0000  4 Os 2.49, 1 Pu 2.66
Os  0.1993  0.1993  0.0000  4 V 2.49, 1 Pu 2.67

energy = -0.8079 Ry per atom
crystal system = tetragonal
mass density = 13.885 g/cm3

Record 10
# PuOs2W

PuOs2W after structural relaxation (PBE, the Alexandria database).

Unit cell a=3.0344 b=3.0344 c=7.5243 alpha=90.00 beta=90.00 gamma=90.00
Closest atoms and distances in Å follow each position.
Positions (direct):
Pu  0.0000  0.0000  0.0000  4 Pu 3.03, 8 Os 3.05
Os  0.5000  0.5000  0.2884  4 W 2.67
Os  0.5000  0.5000  0.7116  4 W 2.67
W  0.0000  0.0000  0.5000  8 Os 2.67

energy = -0.9065 Ry per atom
crystal system = tetragonal
mass density = 19.373 g/cm3

Record 11
# Pu2Os3W

Pu2Os3W after structural relaxation (PBE, the Alexandria database).

Unit cell a=5.1880 b=5.1880 c=5.1948 alpha=114.56 beta=114.56 gamma=65.56
Closest atoms and distances in Å follow each position.
Positions (direct):
Pu  0.1212  0.1212  0.3791  1 Pu 2.95, 9 Os 3.04-3.17, 3 W 3.28-3.29
Pu  0.8788  0.8788  0.6209  1 Pu 2.95, 9 Os 3.04-3.17, 3 W 3.28-3.29
Os  0.0000  0.5000  0.0000  2 W 2.59, 4 Os 2.81
Os  0.5000  0.0000  0.0000  2 W 2.59, 4 Os 2.81
Os  0.5000  0.5000  0.5000  2 W 2.60, 4 Os 2.81
W  0.5000  0.5000  0.0000  6 Os 2.59-2.60

energy = -0.9264 Ry per atom
crystal system = monoclinic
mass density = 18.646 g/cm3

Record 12
# Y2PuOs

Y2PuOs after structural relaxation (PBE, the Alexandria database).

Unit cell a=7.2569 b=9.3454 c=6.3035 alpha=90.00 beta=90.00 gamma=90.00
Closest atoms and distances in Å follow each position.
Positions (direct):
Y  0.1713  0.0636  0.1732  3 Os 2.96-3.18
Y  0.1713  0.4364  0.1732  3 Os 2.96-3.18
Y  0.3287  0.5636  0.6732  3 Os 2.96-3.18
Y  0.3287  0.9364  0.6732  3 Os 2.96-3.18
Y  0.6713  0.0636  0.3268  3 Os 2.96-3.18
Y  0.6713  0.4364  0.3268  3 Os 2.96-3.18
Y  0.8287  0.5636  0.8268  3 Os 2.96-3.18
Y  0.8287  0.9364  0.8268  3 Os 2.96-3.18
Pu  0.0479  0.2500  0.6534  2 Os 2.57-2.62
Pu  0.4521  0.7500  0.1534  2 Os 2.57-2.62
Pu  0.5479  0.2500  0.8466  2 Os 2.57-2.62
Pu  0.9521  0.7500  0.3466  2 Os 2.57-2.62
Os  0.1292  0.7500  0.9847  2 Pu 2.57-2.62
Os  0.3708  0.2500  0.4847  2 Pu 2.57-2.62
Os  0.6292  0.7500  0.5153  2 Pu 2.57-2.62
Os  0.8708  0.2500  0.0153  2 Pu 2.57-2.62

energy = -0.7178 Ry per atom
crystal system = orthorhombic
mass density = 9.510 g/cm3

Record 13
# YPuOs4

YPuOs4 after structural relaxation (PBE, the Alexandria database).

Unit cell a=5.3546 b=5.3546 c=5.3546 alpha=60.00 beta=60.00 gamma=60.00
Closest atoms and distances in Å follow each position.
Positions (direct):
Y  0.0000  0.0000  0.0000  12 Os 3.14, 4 Pu 3.28
Pu  0.2500  0.2500  0.2500  12 Os 3.14, 4 Y 3.28
Os  0.1252  0.6249  0.6249  6 Os 2.68
Os  0.6249  0.1252  0.6249  6 Os 2.68
Os  0.6249  0.6249  0.1252  6 Os 2.68
Os  0.6249  0.6249  0.6249  6 Os 2.68

energy = -0.8183 Ry per atom
crystal system = cubic
mass density = 16.732 g/cm3

Record 14
# YPu2Os

YPu2Os after structural relaxation (PBE, the Alexandria database).

Unit cell a=14.6728 b=9.3801 c=5.8276 alpha=90.00 beta=90.00 gamma=90.00
Closest atoms and distances in Å follow each position.
Positions (direct):
Y  0.1074  0.2500  0.2415  3 Os 3.01-3.14
Y  0.1437  0.7500  0.9813  3 Os 3.00-3.21
Y  0.3563  0.2500  0.4813  3 Os 3.00-3.21
Y  0.3926  0.7500  0.7415  3 Os 3.01-3.14
Y  0.6074  0.2500  0.2585  3 Os 3.01-3.14
Y  0.6437  0.7500  0.5187  3 Os 3.00-3.21
Y  0.8563  0.2500  0.0187  3 Os 3.00-3.21
Y  0.8926  0.7500  0.7585  3 Os 3.01-3.14
Pu  0.0365  0.0562  0.7461  2 Os 2.76-2.80
Pu  0.0365  0.4438  0.7461  2 Os 2.76-2.80
Pu  0.2130  0.5587  0.4628  2 Os 2.76
Pu  0.2130  0.9413  0.4628  2 Os 2.76
Pu  0.2870  0.0587  0.9628  2 Os 2.76
Pu  0.2870  0.4413  0.9628  2 Os 2.76
Pu  0.4635  0.5562  0.2461  2 Os 2.76-2.80
Pu  0.4635  0.9438  0.2461  2 Os 2.76-2.80
Pu  0.5365  0.0562  0.7539  2 Os 2.76-2.80
Pu  0.5365  0.4438  0.7539  2 Os 2.76-2.80
Pu  0.7130  0.5587  0.0372  2 Os 2.76
Pu  0.7130  0.9413  0.0372  2 Os 2.76
Pu  0.7870  0.0587  0.5372  2 Os 2.76
Pu  0.7870  0.4413  0.5372  2 Os 2.76
Pu  0.9635  0.5562  0.2539  2 Os 2.76-2.80
Pu  0.9635  0.9438  0.2539  2 Os 2.76-2.80
Os  0.0705  0.7500  0.5000  4 Pu 2.76-2.80, 2 Y 3.00-3.01
Os  0.1777  0.2500  0.7325  4 Pu 2.76, 2 Y 3.00-3.04
Os  0.3223  0.7500  0.2325  4 Pu 2.76, 2 Y 3.00-3.04
Os  0.4295  0.2500  0.0000  4 Pu 2.76-2.80, 2 Y 3.00-3.01
Os  0.5705  0.7500  0.0000  4 Pu 2.76-2.80, 2 Y 3.00-3.01
Os  0.6777  0.2500  0.7675  4 Pu 2.76, 2 Y 3.00-3.04
Os  0.8223  0.7500  0.2675  4 Pu 2.76, 2 Y 3.00-3.04
Os  0.9295  0.2500  0.5000  4 Pu 2.76-2.80, 2 Y 3.00-3.01

energy = -0.8554 Ry per atom
ΔE to the lowest computed polymorph = 0 meV/atom
crystal system = orthorhombic
mass density = 12.706 g/cm3

Record 15
# YPuOs2

YPuOs2 after structural relaxation (PBE, the Alexandria database).

Unit cell a=3.3900 b=3.3900 c=6.8645 alpha=90.00 beta=90.00 gamma=90.00
Closest atoms and distances in Å follow each position.
Positions (direct):
Y  0.0000  0.0000  0.0000  8 Os 3.02
Pu  0.0000  0.0000  0.5000  8 Os 2.88
Os  0.5000  0.5000  0.2680  4 Pu 2.88, 4 Y 3.02, 1 Os 3.19
Os  0.5000  0.5000  0.7320  4 Pu 2.88, 4 Y 3.02, 1 Os 3.19

energy = -0.7963 Ry per atom
crystal system = tetragonal
mass density = 15.016 g/cm3

Record 16
# YPu2Os

YPu2Os after structural relaxation (PBE, the Alexandria database).

Unit cell a=10.8746 b=10.8746 c=10.8746 alpha=17.46 beta=17.46 gamma=17.46
Closest atoms and distances in Å follow each position.
Positions (direct):
Y  0.0000  0.0000  0.0000  2 Pu 3.25, 6 Y 3.30
Pu  0.1010  0.1010  0.1010  3 Os 2.84
Pu  0.8990  0.8990  0.8990  3 Os 2.84
Os  0.5000  0.5000  0.5000  6 Pu 2.84

energy = -0.8219 Ry per atom
ΔE to the lowest computed polymorph = 456 meV/atom
crystal system = trigonal
mass density = 12.602 g/cm3

Record 17
# Pu2ZnOs3

Pu2ZnOs3 after structural relaxation (PBE, the Alexandria database).

Unit cell a=5.3168 b=5.3168 c=5.3168 alpha=60.51 beta=60.51 gamma=60.51
Closest atoms and distances in Å follow each position.
Positions (direct):
Pu  0.1213  0.1213  0.1213  9 Os 3.11-3.16, 4 Pu 3.15-3.31, 3 Zn 3.15
Pu  0.8787  0.8787  0.8787  9 Os 3.11-3.16, 4 Pu 3.15-3.31, 3 Zn 3.15
Zn  0.5000  0.5000  0.5000  6 Os 2.66
Os  0.0000  0.5000  0.5000  2 Zn 2.66, 4 Os 2.68
Os  0.5000  0.0000  0.5000  2 Zn 2.66, 4 Os 2.68
Os  0.5000  0.5000  0.0000  2 Zn 2.66, 4 Os 2.68

energy = -0.7838 Ry per atom
crystal system = trigonal
mass density = 17.362 g/cm3

Record 18
# PuZnOs

PuZnOs after structural relaxation (PBE, the Alexandria database).

Unit cell a=5.3726 b=5.3726 c=5.3726 alpha=125.98 beta=116.94 gamma=87.68
Closest atoms and distances in Å follow each position.
Positions (direct):
Pu  0.3834  0.1334  0.2500  6 Os 3.00-3.17, 2 Pu 3.04, 6 Zn 3.19-3.21
Pu  0.6166  0.8666  0.7500  6 Os 3.00-3.17, 2 Pu 3.04, 6 Zn 3.19-3.21
Zn  0.0000  0.0000  0.5000  2 Zn 2.44, 4 Os 2.69
Zn  0.0000  0.5000  0.0000  2 Zn 2.44, 4 Os 2.69
Os  0.0000  0.5000  0.5000  4 Zn 2.69, 2 Os 2.81, 4 Pu 3.00
Os  0.5000  0.5000  0.0000  4 Zn 2.69, 2 Os 2.81, 4 Pu 3.00

energy = -0.6647 Ry per atom
crystal system = orthorhombic
mass density = 15.614 g/cm3

Record 19
# PuZnOs

PuZnOs after structural relaxation (PBE, the Alexandria database).

Unit cell a=4.4515 b=4.4515 c=3.2512 alpha=90.00 beta=90.00 gamma=120.00
Closest atoms and distances in Å follow each position.
Positions (direct):
Pu  0.0000  0.0000  0.0000  6 Os 3.04, 6 Zn 3.04, 2 Pu 3.25
Zn  0.3333  0.6667  0.5000  3 Os 2.57
Os  0.6667  0.3333  0.5000  3 Zn 2.57

energy = -0.6512 Ry per atom
crystal system = hexagonal
mass density = 14.870 g/cm3

Record 20
# Pu3Zn3Os2

Pu3Zn3Os2 after structural relaxation (PBE, the Alexandria database).

Unit cell a=6.8755 b=6.8755 c=3.9595 alpha=90.00 beta=90.00 gamma=120.00
Closest atoms and distances in Å follow each position.
Positions (direct):
Pu  0.0000  0.4137  0.0000  4 Os 2.87, 6 Zn 3.16-3.17
Pu  0.4137  0.0000  0.0000  4 Os 2.87, 6 Zn 3.16-3.17
Pu  0.5863  0.5863  0.0000  4 Os 2.87, 6 Zn 3.16-3.17
Zn  0.0000  0.7730  0.5000  2 Zn 2.70, 2 Os 2.73
Zn  0.2270  0.2270  0.5000  2 Zn 2.70, 2 Os 2.73
Zn  0.7730  0.0000  0.5000  2 Zn 2.70, 2 Os 2.73
Os  0.3333  0.6667  0.5000  3 Zn 2.73, 6 Pu 2.87
Os  0.6667  0.3333  0.5000  3 Zn 2.73, 6 Pu 2.87

energy = -0.6419 Ry per atom
crystal system = hexagonal
mass density = 13.406 g/cm3